# FeSF2

FeSF2 after structural relaxation (PBE+U, Alexandria).

Lattice parameters (Å, degrees): 9.6898 9.6898 9.6898 16.61 16.61 16.61
Atoms (fractional coordinates):
1 Fe 0.0000 0.0000 0.0000
2 S 0.5000 0.5000 0.5000
3 F 0.0611 0.0611 0.0611
4 F 0.9389 0.9389 0.9389

Properties
D(E_F)   1.6 states/eV per cell
Space group   R-3m
Total DFT energy (no corrections)   -0.2931 Ry per atom